Record 1
The following is a SCAN calculation of a crystal of TaCoMo relaxed with PBEsol, from the Alexandria database.

Energy above the lowest structure with this stoichiometry = 39 meV per atom
Magnetic moment = 0.00 μB/cell
ΔE_f = 0.10 eV/atom

The structure in CIF format:
```
data_TaCoMo
_chemical_formula_sum 'Ta2 Co2 Mo2'
_space_group_name_H-M_alt 'I 4 m m'
_space_group_IT_number 107
_space_group_name_Hall 'I 4 -2'
_cell_length_a 2.692
_cell_length_b 2.692
_cell_length_c 11.756
_cell_angle_alpha 90.00
_cell_angle_beta 90.00
_cell_angle_gamma 90.00
loop_
_atom_site_label
_atom_site_type_symbol
_atom_site_fract_x
_atom_site_fract_y
_atom_site_fract_z
Ta1 Ta 0.000 0.000 0.000
Co1 Co 0.000 0.000 0.658
Mo1 Mo 0.000 0.000 0.304
```

Record 2
The following is a SCAN calculation of a crystal of Y2CoNi relaxed with PBEsol, from the Alexandria database.

Magnetic moment = 2.00 μB/cell
ΔE_f = 0.00 eV/atom

The structure in CIF format:
```
data_Y2CoNi
_chemical_formula_sum 'Y2 Co1 Ni1'
_space_group_name_H-M_alt 'P 4 m m'
_space_group_IT_number 99
_cell_length_a 3.256
_cell_length_b 3.256
_cell_length_c 7.404
_cell_angle_alpha 90.00
_cell_angle_beta 90.00
_cell_angle_gamma 90.00
loop_
_space_group_symop_operation_xyz
'x,y,z'
'-y,x,z'
'-x,-y,z'
'y,-x,z'
'-x,y,z'
'y,x,z'
'x,-y,z'
'-y,-x,z'
loop_
_atom_site_label
_atom_site_type_symbol
_atom_site_fract_x
_atom_site_fract_y
_atom_site_fract_z
Y1 Y 0.000 0.000 0.000
Y2 Y 0.500 0.500 0.408
Co1 Co 0.000 0.000 0.644
Ni1 Ni 0.500 0.500 0.770
```

Record 3
The following is a SCAN calculation of a crystal of CoSiAg3 relaxed with PBEsol, from the Alexandria database.

E_form (uncorrected) = 0.80 eV/atom
Magnetic moment = 2.21 μB/cell

The structure in CIF format:
```
data_CoSiAg3
_chemical_formula_sum 'Co1 Si1 Ag3'
_space_group_name_H-M_alt 'P m -3 m'
_space_group_IT_number 221
_space_group_name_Hall '-P 4 2 3'
_cell_length_a 4.599
_cell_length_b 4.599
_cell_length_c 4.599
_cell_angle_alpha 90.00
_cell_angle_beta 90.00
_cell_angle_gamma 90.00
loop_
_atom_site_label
_atom_site_type_symbol
_atom_site_fract_x
_atom_site_fract_y
_atom_site_fract_z
Co1 Co 0.000 0.000 0.000
Si1 Si 0.500 0.500 0.500
Ag1 Ag 0.000 0.500 0.500
```

Record 4
The following is a SCAN calculation of a crystal of Al2CuAu2 relaxed with PBEsol, from the Alexandria database.

Magnetic moment = 0.00 μB/cell
ΔE_f = -0.01 eV/atom

The structure in CIF format:
```
data_Al2CuAu2
_chemical_formula_sum 'Al4 Cu2 Au4'
_space_group_name_H-M_alt 'I 4/m m m'
_space_group_IT_number 139
_space_group_name_Hall '-I 4 2'
_cell_length_a 3.742
_cell_length_b 3.742
_cell_length_c 12.542
_cell_angle_alpha 90.00
_cell_angle_beta 90.00
_cell_angle_gamma 90.00
loop_
_atom_site_label
_atom_site_type_symbol
_atom_site_fract_x
_atom_site_fract_y
_atom_site_fract_z
Al1 Al 0.000 0.000 0.099
Cu1 Cu 0.000 0.000 0.500
Au1 Au 0.000 0.500 0.250
```